Record 1
BaFe2RhI, relaxed, DFT PBE; DOS at the Fermi energy = 7.838 states/eV per cell; energy relative to the elements, uncorrected = 2.082 eV per atom
1.0
4.989 0.000 0.000
0.000 4.989 0.000
0.000 0.000 6.266
Ba Fe Rh I
1 2 1 1
Cartesian
0.000 0.000 0.000
0.000 2.495 0.000
2.495 0.000 0.000
2.495 2.495 3.133
0.000 0.000 3.133

=====

Record 2
HoTlGeSe4, relaxed, DFT PBE; energy relative to the elements, uncorrected = -0.874 eV per atom
1.0
6.749 0.000 0.000
0.000 6.999 0.000
-2.664 0.000 8.581
Ho Tl Ge Se
2 2 2 8
Cartesian
1.402 1.750 0.465
2.683 5.249 8.116
0.135 1.750 4.827
3.950 5.249 3.754
-0.663 5.249 7.088
4.748 1.750 1.493
-0.490 3.572 1.819
-0.490 6.927 1.819
1.182 5.249 5.637
2.745 5.249 0.755
1.341 1.750 7.826
2.903 1.750 2.944
4.576 0.072 6.763
4.576 3.427 6.763

=====

Record 3
Ce4AgIr, relaxed, DFT PBE; DOS at the Fermi energy = 88.874 states/eV per cell; relative energy among the computed polymorphs = 12 meV per atom; formation energy from the elements = -0.2732 eV per atom
1.0
0.000 6.826 6.826
6.826 0.000 6.826
6.826 6.826 0.000
Ce Ag Ir
16 4 4
Cartesian
6.826 6.826 2.550
6.826 2.550 6.826
11.103 6.826 6.826
5.440 5.440 5.440
8.213 8.213 5.440
8.213 5.440 8.213
10.240 10.240 7.554
10.240 7.554 10.240
12.925 10.240 10.240
5.440 8.213 8.213
2.550 6.826 6.826
6.826 11.103 6.826
6.826 6.826 11.103
7.554 10.240 10.240
10.240 12.925 10.240
10.240 10.240 12.925
2.337 2.337 2.337
4.489 4.489 2.337
4.489 2.337 4.489
2.337 4.489 4.489
8.318 5.335 5.335
5.335 8.318 5.335
5.335 5.335 8.318
8.318 8.318 8.318

=====

Record 4
BaScPb2, relaxed, DFT PBE; DOS at the Fermi energy = 5.749 states/eV per cell; formation energy from the elements = -0.3765 eV per atom
1.0
9.521 0.000 0.000
0.000 4.450 0.000
-2.062 0.000 6.551
Ba Sc Pb
2 2 4
Cartesian
0.000 0.000 0.000
4.761 2.225 0.000
-1.031 2.225 3.276
3.729 0.000 3.276
0.858 0.000 4.366
1.841 2.225 2.185
5.618 2.225 4.366
6.601 0.000 2.185

=====

Record 5
Na2IrRh2S6, relaxed, DFT PBE; DOS at the Fermi energy = 7.888 states/eV per cell; energy relative to the elements, uncorrected = -0.618 eV per atom
1.0
3.128 -5.407 0.000
3.128 5.407 0.000
-2.102 0.000 6.369
Na Ir Rh S
2 1 2 6
Cartesian
3.128 3.598 0.000
3.128 -3.598 0.000
-1.051 0.000 3.185
2.077 1.805 3.185
2.077 -1.805 3.185
-0.011 1.797 4.366
1.020 0.000 1.982
-0.011 -1.797 4.366
4.165 1.797 2.004
3.134 0.000 4.387
4.165 -1.797 2.004

=====

Record 6
SmCd2Cu2, relaxed, DFT PBE; DOS at the Fermi energy = 4.071 states/eV per cell; formation energy from the elements = -0.1807 eV per atom
1.0
10.204 0.000 0.000
0.000 4.008 0.000
-1.245 0.000 5.076
Sm Cd Cu
2 4 4
Cartesian
0.000 0.000 0.000
5.102 2.004 0.000
0.767 2.004 2.888
3.090 0.000 2.188
5.869 0.000 2.888
8.192 2.004 2.188
2.102 2.004 0.572
1.755 0.000 4.504
7.204 0.000 0.572
6.857 2.004 4.504

=====

no.,volume (Å³ per cell)
1,156.0
2,405.4
3,636.2
4,277.6
5,215.4
6,207.6